1.
The following is a DFT calculation (PBE) of crystalline InTeClO4 at its relaxed geometry.

Values from the calculation:
E_form (uncorrected): -0.96 eV/atom
E_tot: -4.90 eV per atom

a b c (Å): 5.8711 5.8711 9.5883
angles (deg): 65.94 65.94 75.05
Element x y z (fractional)
In 0.1701 0.1701 0.7789
In 0.8299 0.8299 0.2211
Te 0.6361 0.6361 0.6715
Te 0.3639 0.3639 0.3285
Cl 0.1499 0.1499 0.0537
Cl 0.8501 0.8501 0.9463
O 0.1884 0.1884 0.5428
O 0.8116 0.8116 0.4572
O 0.1421 0.5387 0.2199
O 0.5605 0.5605 0.3288
O 0.4613 0.8579 0.7801
O 0.5387 0.1421 0.2199
O 0.4395 0.4395 0.6712
O 0.8579 0.4613 0.7801

2.
The following is a DFT calculation (PBE) of crystalline TiMnAlCo at its relaxed geometry.

Values from the calculation:
energy of formation from the pure elements: -0.394 eV per atom
E_tot: -7.37 eV per atom

a b c (Å): 2.9588 2.9588 5.8083
angles (deg): 90.00 90.00 90.00
Last column: magnetic moment on the atom in μB.
Element x y z (fractional)
Ti 0.5000 0.5000 0.1081  -0.17
Mn 0.0000 0.0000 0.3575  1.24
Al 0.5000 0.5000 0.6088  -0.02
Co 0.0000 0.0000 0.8534  -0.27

3.
The following is a DFT calculation (PBE) of crystalline Hf2GaAg2 at its relaxed geometry.

Values from the calculation:
energy of formation from the pure elements: 0.195 eV per atom
energy relative to the lowest polymorph listed for this composition: 0.81 eV/f.u.
E_tot: -5.53 eV per atom

a b c (Å): 7.7396 7.7396 3.4517
angles (deg): 90.00 90.00 90.00
Element x y z (fractional)
Hf 0.3324 0.8324 0.0000
Hf 0.8324 0.6676 0.0000
Hf 0.6676 0.1676 0.0000
Hf 0.1676 0.3324 0.0000
Ga 0.0000 0.0000 0.0000
Ga 0.5000 0.5000 0.0000
Ag 0.1297 0.6297 0.5000
Ag 0.6297 0.8703 0.5000
Ag 0.8703 0.3703 0.5000
Ag 0.3703 0.1297 0.5000

4.
The following is a DFT calculation (PBE) of crystalline DyTm3Tl2 at its relaxed geometry.

Values from the calculation:
energy of formation from the pure elements: -0.258 eV per atom
energy relative to the lowest polymorph listed for this composition: 0.00 eV/f.u.
E_tot: -4.05 eV per atom

a b c (Å): 5.0297 6.7856 9.8571
angles (deg): 90.00 90.00 90.00
Element x y z (fractional)
Dy 0.5000 0.5480 0.5430
Dy 0.5000 0.0480 0.4570
Tm 0.0000 0.4532 0.9567
Tm 0.0000 0.9532 0.0433
Tm 0.5000 0.6681 0.1868
Tm 0.5000 0.1681 0.8132
Tm 0.0000 0.3315 0.3091
Tm 0.0000 0.8315 0.6909
Tl 0.5000 0.7080 0.8681
Tl 0.5000 0.2080 0.1319
Tl 0.0000 0.2913 0.6327
Tl 0.0000 0.7913 0.3673

5.
The following is a DFT calculation (PBE) of crystalline Pr2NdAl2 at its relaxed geometry.

Values from the calculation:
energy of formation from the pure elements: -0.294 eV per atom
energy relative to the lowest polymorph listed for this composition: 0.00 eV/f.u.
E_tot: -4.66 eV per atom

a b c (Å): 5.0434 5.9097 5.9097
angles (deg): 72.71 64.74 64.74
Element x y z (fractional)
Pr 0.8014 0.6986 0.6986
Pr 0.1986 0.3014 0.3014
Nd 0.0000 0.0000 0.0000
Al 0.5000 0.6922 0.3078
Al 0.5000 0.3078 0.6922

6.
The following is a DFT calculation (PBE) of crystalline Tb2CeSi at its relaxed geometry.

Values from the calculation:
energy relative to the lowest polymorph listed for this composition: 0.00 eV/f.u.
E_form (uncorrected): -0.26 eV/atom
E_tot: -5.42 eV per atom

a b c (Å): 4.4689 4.6946 4.6946
angles (deg): 90.00 90.00 90.00
Element x y z (fractional)
Si 0.5000 0.0000 0.0000
Tb 0.0000 0.0000 0.5000
Tb 0.0000 0.5000 0.0000
Ce 0.5000 0.5000 0.5000

Q: Among the records above, which one has the lowest E_tot?
A: TiMnAlCo

Q: What is the formula in the first record?
A: InTeClO4

What did the fourth record say?
The following is a DFT calculation (PBE) of crystalline DyTm3Tl2 at its relaxed geometry.

Values from the calculation:
energy of formation from the pure elements: -0.258 eV per atom
energy relative to the lowest polymorph listed for this composition: 0.00 eV/f.u.
E_tot: -4.05 eV per atom

a b c (Å): 5.0297 6.7856 9.8571
angles (deg): 90.00 90.00 90.00
Element x y z (fractional)
Dy 0.5000 0.5480 0.5430
Dy 0.5000 0.0480 0.4570
Tm 0.0000 0.4532 0.9567
Tm 0.0000 0.9532 0.0433
Tm 0.5000 0.6681 0.1868
Tm 0.5000 0.1681 0.8132
Tm 0.0000 0.3315 0.3091
Tm 0.0000 0.8315 0.6909
Tl 0.5000 0.7080 0.8681
Tl 0.5000 0.2080 0.1319
Tl 0.0000 0.2913 0.6327
Tl 0.0000 0.7913 0.3673